This record from Alexandria describes an optimized crystal structure of PrThSbTe. The functional is PBE.

Computed properties:
The formation energy without anion corrections comes out at -1.046 eV/atom. The space-group type is F-43m. Its raw total energy is -5.911 eV per atom. The total magnetic moment comes out at 0.0 μB per cell. The density of states at the Fermi level comes out at 0.880 states/eV per atom.

The structure in CIF format:
```
data_PrThSbTe
_symmetry_space_group_name_H-M 'P 1'
_symmetry_Int_Tables_number 1
_cell_length_a 5.488
_cell_length_b 5.488
_cell_length_c 5.488
_cell_angle_alpha 60.00
_cell_angle_beta 60.00
_cell_angle_gamma 60.00
loop_
_symmetry_equiv_pos_as_xyz
'x,y,z'
loop_
_atom_site_label
_atom_site_type_symbol
_atom_site_fract_x
_atom_site_fract_y
_atom_site_fract_z
Th1 Th 0.000 0.000 0.000
Te1 Te 0.250 0.250 0.250
Pr1 Pr 0.500 0.500 0.500
Sb1 Sb 0.750 0.750 0.750
```